The following is a PBE-GGA calculation of YP2PtO after structural relaxation, from Alexandria.

Summary:
For the energy above the most stable polymorph in this dataset, the calculation gives 70.6 kJ per mole of atoms. The total energy is -5.28 eV per atom. As for the symmetry: P4/mmm, No. 123. The calculation puts the formation energy without anion corrections at 0.3797 eV/atom.

Lattice parameters (Å, degrees): 5.3256 5.3256 4.0337 90.00 90.00 90.00
Atoms (fractional coordinates):
Y1 0.0000 0.0000 0.0000
P1 0.5000 0.0000 0.0000
P2 0.0000 0.5000 0.0000
O1 0.0000 0.0000 0.5000
Pt1 0.5000 0.5000 0.5000

The following is a PBE-GGA calculation of YP2PtO after structural relaxation, from Alexandria.

Summary:
For the energy above the most stable polymorph in this dataset, the calculation gives 0.0 kJ per mole of atoms. The total energy is -6.01 eV per atom. As for the symmetry: P4/mmm, No. 123. The calculation puts the formation energy without anion corrections at -0.3523 eV/atom.

Lattice parameters (Å, degrees): 4.8763 4.8763 3.8685 90.00 90.00 90.00
Atoms (fractional coordinates):
Y1 0.5000 0.5000 0.5000
P1 0.5000 0.0000 0.0000
P2 0.0000 0.5000 0.0000
O1 0.0000 0.0000 0.5000
Pt1 0.0000 0.0000 0.0000